! Tl2MoPt PBE-GGA optimized geometry; values from VASP
! Energy above the lowest structure with this stoichiometry: 293 meV/atom
! Space group: Cmmm (65)
! Crystal system: orthorhombic
&SYSTEM
  ibrav = 0, nat = 4, ntyp = 3
/
ATOMIC_SPECIES
Tl 204.38 Tl.upf
Mo 95.94 Mo.upf
Pt 195.08 Pt.upf
ATOMIC_POSITIONS crystal
Tl 0.0000 0.0000 0.2446
Tl 0.0000 0.0000 0.7554
Mo 0.5000 0.5000 0.5000
Pt 0.5000 0.5000 0.0000
CELL_PARAMETERS angstrom
1.7966 -2.4419 0.0000
1.7966 2.4419 0.0000
0.0000 0.0000 8.9561

! TlMoPt PBE-GGA optimized geometry; values from VASP
! Energy above the lowest structure with this stoichiometry: 268 meV/atom
! Space group: P-6m2 (187)
! Crystal system: hexagonal
&SYSTEM
  ibrav = 0, nat = 3, ntyp = 3
/
ATOMIC_SPECIES
Tl 204.38 Tl.upf
Mo 95.94 Mo.upf
Pt 195.08 Pt.upf
ATOMIC_POSITIONS crystal
Tl 0.0000 0.0000 0.0000
Mo 0.6667 0.3333 0.5000
Pt 0.3333 0.6667 0.0000
CELL_PARAMETERS angstrom
4.6842 0.0000 0.0000
-2.3421 4.0566 0.0000
0.0000 0.0000 2.8419

! Tm2MoPt9 PBE-GGA optimized geometry; values from VASP
! Space group: P4/mmm (123)
! Raw total energy: -6.9801 eV/atom
! Crystal system: tetragonal
&SYSTEM
  ibrav = 0, nat = 12, ntyp = 3
/
ATOMIC_SPECIES
Tm 168.93 Tm.upf
Mo 95.94 Mo.upf
Pt 195.08 Pt.upf
ATOMIC_POSITIONS crystal
Tm 0.0000 0.0000 0.1661
Tm 0.0000 0.0000 0.8339
Mo 0.0000 0.0000 0.5000
Pt 0.0000 0.5000 0.0000
Pt 0.0000 0.5000 0.3446
Pt 0.0000 0.5000 0.6554
Pt 0.5000 0.0000 0.0000
Pt 0.5000 0.0000 0.3446
Pt 0.5000 0.0000 0.6554
Pt 0.5000 0.5000 0.1720
Pt 0.5000 0.5000 0.5000
Pt 0.5000 0.5000 0.8280
CELL_PARAMETERS angstrom
4.0472 0.0000 0.0000
0.0000 4.0472 0.0000
0.0000 0.0000 12.1934

! V4Mo3Pt PBE-GGA optimized geometry; values from VASP
! Space group: P4/mmm (123)
! Raw total energy: -9.6200 eV/atom
! Crystal system: tetragonal
&SYSTEM
  ibrav = 0, nat = 8, ntyp = 3
/
ATOMIC_SPECIES
V 50.94 V.upf
Mo 95.94 Mo.upf
Pt 195.08 Pt.upf
ATOMIC_POSITIONS crystal
V 0.0000 0.5000 0.2416
V 0.0000 0.5000 0.7584
V 0.5000 0.0000 0.2416
V 0.5000 0.0000 0.7584
Mo 0.0000 0.0000 0.0000
Mo 0.0000 0.0000 0.5000
Mo 0.5000 0.5000 0.0000
Pt 0.5000 0.5000 0.5000
CELL_PARAMETERS angstrom
4.3403 0.0000 0.0000
0.0000 4.3403 0.0000
0.0000 0.0000 6.1531

no.,size of the total moment (Bohr magnetons per cell),theoretical density (g cm⁻³)
1,0.00,14.8
2,0.64,15.2
3,0.67,18.2
4,0.00,9.8